1 | Computed, not measured: a geometry-optimized NbPdIN2 structure at the PBE-GGA level of DFT.

Output
crystal system	tetragonal
symmetry	No. 123

a b c (Å): 4.024 4.024 5.345
angles (deg): 90.00 90.00 90.00
Element x y z (fractional)
Nb 0.500 0.500 0.500
Pd 0.000 0.000 0.000
I 0.000 0.000 0.500
N 0.500 0.000 0.000
N 0.000 0.500 0.000


2 | Computed, not measured: a geometry-optimized NbPdIN2 structure at the PBE-GGA level of DFT.

Output
crystal system	tetragonal
symmetry	No. 123

a b c (Å): 3.997 3.997 6.153
angles (deg): 90.00 90.00 90.00
Each line ends with the local moment (μB).
Element x y z (fractional)
Nb 0.000 0.000 0.000  -0.08
I 0.000 0.000 0.500  0.00
N 0.500 0.000 0.000  0.25
N 0.000 0.500 0.000  0.25
Pd 0.500 0.500 0.500  0.04


The most stable structure shown above is 2; the least stable is 1.